Record 1
This record from OQMD via LeMat-Bulk describes crystalline Tb3Zn3Ni2Au at its relaxed geometry. The functional is PBE.

Cell lengths 7.215, 7.215, 3.797 Å; angles 90.00, 90.00, 120.00 degrees
Atoms (fractional coordinates):
Au1 0.000 0.000 0.000
Zn1 0.000 0.265 0.500
Zn2 0.735 0.735 0.500
Zn3 0.265 0.000 0.500
Tb1 0.000 0.586 0.000
Tb2 0.586 0.000 0.000
Tb3 0.414 0.414 0.000
Ni1 0.333 0.667 0.500
Ni2 0.667 0.333 0.500

## Properties
As for the calculated formation energy: -4.6 eV/f.u. The value obtained for the total energy is -4.082 eV per atom. Its symmetry is P-62m, No. 189.

***

Record 2
This record from OQMD via LeMat-Bulk describes crystalline TlTcNiAu at its relaxed geometry. The functional is PBE.

Cell lengths 4.554, 4.554, 4.554 Å; angles 60.00, 60.00, 60.00 degrees
Atoms (fractional coordinates):
Tl1 0.000 0.000 0.000
Ni1 0.750 0.750 0.750
Au1 0.500 0.500 0.500
Tc1 0.250 0.250 0.250

## Properties
The value obtained for the total energy is -4.887 eV per atom. Its symmetry is F-43m, No. 216.

***

Record 3
This record from OQMD via LeMat-Bulk describes crystalline ZnTcNiAu at its relaxed geometry. The functional is PBE.

Cell lengths 4.368, 4.368, 4.368 Å; angles 60.00, 60.00, 60.00 degrees
Atoms (fractional coordinates):
Zn1 0.000 0.000 0.000
Tc1 0.250 0.250 0.250
Au1 0.500 0.500 0.500
Ni1 0.750 0.750 0.750

## Properties
As for the calculated formation energy: 1.0 eV/f.u. The value obtained for the total energy is -4.853 eV per atom. Its symmetry is F-43m, No. 216.